(1)
The following is a DFT calculation (PBE) of a geometry-optimized LiMnMo2 structure.

## Properties
- mass density (g cm⁻³) = 7.644
- energy of formation (eV/atom) = 0.367

Cell and atoms, written as CIF:
```
data_LiMnMo2
_space_group_name_H-M_alt 'I m m 2'
_space_group_IT_number 44
_cell_length_a 2.9925
_cell_length_b 4.3193
_cell_length_c 8.5302
_cell_angle_alpha 90.00
_cell_angle_beta 90.00
_cell_angle_gamma 90.00
loop_
_space_group_symop_operation_xyz
'x,y,z'
'-x,-y,z'
'-x,y,z'
'x,-y,z'
'x+1/2,y+1/2,z+1/2'
'-x+1/2,-y+1/2,z+1/2'
'-x+1/2,y+1/2,z+1/2'
'x+1/2,-y+1/2,z+1/2'
loop_
_atom_site_label
_atom_site_type_symbol
_atom_site_fract_x
_atom_site_fract_y
_atom_site_fract_z
Li1 Li 0.0000 0.0000 0.0000
Mn1 Mn 0.0000 0.5000 0.7479
Mo1 Mo 0.0000 0.0000 0.4704
Mo2 Mo 0.0000 0.5000 0.2284
```

=====

(2)
The following is a DFT calculation (PBE) of a geometry-optimized ErScAlAg structure.

## Properties
- mass density (g cm⁻³) = 6.695
- energy of formation (eV/atom) = -0.365

Cell and atoms, written as CIF:
```
data_ErScAlAg
_space_group_name_H-M_alt 'P 4 m m'
_space_group_IT_number 99
_cell_length_a 3.4455
_cell_length_b 3.4455
_cell_length_c 7.2517
_cell_angle_alpha 90.00
_cell_angle_beta 90.00
_cell_angle_gamma 90.00
loop_
_space_group_symop_operation_xyz
'x,y,z'
'-y,x,z'
'-x,-y,z'
'y,-x,z'
'-x,y,z'
'y,x,z'
'x,-y,z'
'-y,-x,z'
loop_
_atom_site_label
_atom_site_type_symbol
_atom_site_fract_x
_atom_site_fract_y
_atom_site_fract_z
Er1 Er 0.0000 0.0000 0.0000
Sc1 Sc 0.0000 0.0000 0.4981
Al1 Al 0.5000 0.5000 0.7327
Ag1 Ag 0.5000 0.5000 0.2732
```

=====

(3)
The following is a DFT calculation (PBE) of a geometry-optimized Tm2Ga4Ni3Ir structure.

## Properties
- mass density (g cm⁻³) = 9.917
- energy of formation (eV/atom) = -0.607

Cell and atoms, written as CIF:
```
data_Tm2Ga4Ni3Ir
_space_group_name_H-M_alt 'P -4 m 2'
_space_group_IT_number 115
_cell_length_a 4.0149
_cell_length_b 4.0149
_cell_length_c 10.2320
_cell_angle_alpha 90.00
_cell_angle_beta 90.00
_cell_angle_gamma 90.00
loop_
_space_group_symop_operation_xyz
'x,y,z'
'y,-x,-z'
'-x,-y,z'
'-y,x,-z'
'-x,y,z'
'-y,-x,-z'
'x,-y,z'
'y,x,-z'
loop_
_atom_site_label
_atom_site_type_symbol
_atom_site_fract_x
_atom_site_fract_y
_atom_site_fract_z
Tm1 Tm 0.0000 0.5000 0.2478
Ga1 Ga 0.0000 0.0000 0.0000
Ga2 Ga 0.0000 0.5000 0.6383
Ga3 Ga 0.5000 0.5000 0.0000
Ni1 Ni 0.0000 0.5000 0.8665
Ni2 Ni 0.5000 0.5000 0.5000
Ir1 Ir 0.0000 0.0000 0.5000
```

=====

(4)
The following is a DFT calculation (PBE) of a geometry-optimized SrNb2Tc4 structure.

## Properties
- mass density (g cm⁻³) = 7.432
- energy of formation (eV/atom) = 1.960

Cell and atoms, written as CIF:
```
data_SrNb2Tc4
_space_group_name_H-M_alt 'I 4/m m m'
_space_group_IT_number 139
_space_group_name_Hall '-I 4 2'
_cell_length_a 4.7125
_cell_length_b 4.7125
_cell_length_c 13.3909
_cell_angle_alpha 90.00
_cell_angle_beta 90.00
_cell_angle_gamma 90.00
loop_
_atom_site_label
_atom_site_type_symbol
_atom_site_fract_x
_atom_site_fract_y
_atom_site_fract_z
Sr1 Sr 0.0000 0.0000 0.0000
Nb1 Nb 0.0000 0.0000 0.3772
Tc1 Tc 0.0000 0.0000 0.2066
Tc2 Tc 0.0000 0.5000 0.0000
```

=====

(5)
The following is a DFT calculation (PBE) of a geometry-optimized TaV2Co2 structure.

## Properties
- mass density (g cm⁻³) = 10.078
- energy of formation (eV/atom) = -0.060

Cell and atoms, written as CIF:
```
data_TaV2Co2
_space_group_name_H-M_alt 'P 4/m b m'
_space_group_IT_number 127
_space_group_name_Hall '-P 4 2ab'
_cell_length_a 6.9591
_cell_length_b 6.9591
_cell_length_c 2.7266
_cell_angle_alpha 90.00
_cell_angle_beta 90.00
_cell_angle_gamma 90.00
loop_
_atom_site_label
_atom_site_type_symbol
_atom_site_fract_x
_atom_site_fract_y
_atom_site_fract_z
Ta1 Ta 0.0000 0.0000 0.0000
V1 V 0.1642 0.3358 0.5000
Co1 Co 0.1295 0.6295 0.0000
```

=====

(6)
The following is a DFT calculation (PBE) of a geometry-optimized Li3Mg3Zn2 structure.

## Properties
- mass density (g cm⁻³) = 2.577
- energy of formation (eV/atom) = -0.078

Cell and atoms, written as CIF:
```
data_Li3Mg3Zn2
_space_group_name_H-M_alt 'P -1'
_space_group_IT_number 2
_cell_length_a 3.5199
_cell_length_b 4.4894
_cell_length_c 9.5820
_cell_angle_alpha 103.36
_cell_angle_beta 100.49
_cell_angle_gamma 90.17
loop_
_space_group_symop_operation_xyz
'x,y,z'
'-x,-y,-z'
loop_
_atom_site_label
_atom_site_type_symbol
_atom_site_fract_x
_atom_site_fract_y
_atom_site_fract_z
Li1 Li 0.0000 0.0000 0.0000
Li2 Li 0.1365 0.6368 0.2737
Mg1 Mg 0.3692 0.8673 0.7349
Mg2 Mg 0.5000 0.5000 0.0000
Zn1 Zn 0.2512 0.2519 0.5045
```

=====

(7)
The following is a DFT calculation (PBE) of a geometry-optimized ScInRh2 structure.

## Properties
- mass density (g cm⁻³) = 8.227
- energy of formation (eV/atom) = -0.145

Cell and atoms, written as CIF:
```
data_ScInRh2
_space_group_name_H-M_alt 'R 3 m'
_space_group_IT_number 160
_space_group_name_Hall 'R 3 -2"'
_cell_length_a 3.1287
_cell_length_b 3.1287
_cell_length_c 26.1121
_cell_angle_alpha 90.00
_cell_angle_beta 90.00
_cell_angle_gamma 120.00
loop_
_atom_site_label
_atom_site_type_symbol
_atom_site_fract_x
_atom_site_fract_y
_atom_site_fract_z
Sc1 Sc 0.0000 0.0000 0.0000
In1 In 0.0000 0.0000 0.7688
Rh1 Rh 0.0000 0.0000 0.2639
Rh2 Rh 0.0000 0.0000 0.5130
```

=====

(8)
The following is a DFT calculation (PBE) of a geometry-optimized CeGdSn2 structure.

## Properties
- mass density (g cm⁻³) = 8.048
- energy of formation (eV/atom) = -0.647

Cell and atoms, written as CIF:
```
data_CeGdSn2
_space_group_name_H-M_alt 'P 4/m m m'
_space_group_IT_number 123
_space_group_name_Hall '-P 4 2'
_cell_length_a 4.9640
_cell_length_b 4.9640
_cell_length_c 4.4779
_cell_angle_alpha 90.00
_cell_angle_beta 90.00
_cell_angle_gamma 90.00
loop_
_atom_site_label
_atom_site_type_symbol
_atom_site_fract_x
_atom_site_fract_y
_atom_site_fract_z
Ce1 Ce 0.0000 0.0000 0.0000
Gd1 Gd 0.5000 0.5000 0.0000
Sn1 Sn 0.0000 0.5000 0.5000
```

=====

(9)
The following is a DFT calculation (PBE) of a geometry-optimized LaZnRh2 structure.

## Properties
- mass density (g cm⁻³) = 9.031
- energy of formation (eV/atom) = -0.330

Cell and atoms, written as CIF:
```
data_LaZnRh2
_space_group_name_H-M_alt 'P 4 m m'
_space_group_IT_number 99
_cell_length_a 3.6729
_cell_length_b 3.6729
_cell_length_c 5.5899
_cell_angle_alpha 90.00
_cell_angle_beta 90.00
_cell_angle_gamma 90.00
loop_
_space_group_symop_operation_xyz
'x,y,z'
'-y,x,z'
'-x,-y,z'
'y,-x,z'
'-x,y,z'
'y,x,z'
'x,-y,z'
'-y,-x,z'
loop_
_atom_site_label
_atom_site_type_symbol
_atom_site_fract_x
_atom_site_fract_y
_atom_site_fract_z
La1 La 0.0000 0.0000 0.0000
Zn1 Zn 0.5000 0.5000 0.6413
Rh1 Rh 0.0000 0.0000 0.5025
Rh2 Rh 0.5000 0.5000 0.1860
```

=====

(10)
The following is a DFT calculation (PBE) of a geometry-optimized Co2IrPb structure.

## Properties
- mass density (g cm⁻³) = 14.133
- energy of formation (eV/atom) = 0.448

Cell and atoms, written as CIF:
```
data_Co2IrPb
_space_group_name_H-M_alt 'P m m 2'
_space_group_IT_number 25
_cell_length_a 2.9536
_cell_length_b 4.2838
_cell_length_c 4.8035
_cell_angle_alpha 90.00
_cell_angle_beta 90.00
_cell_angle_gamma 90.00
loop_
_space_group_symop_operation_xyz
'x,y,z'
'-x,-y,z'
'-x,y,z'
'x,-y,z'
loop_
_atom_site_label
_atom_site_type_symbol
_atom_site_fract_x
_atom_site_fract_y
_atom_site_fract_z
Co1 Co 0.0000 0.0000 0.0000
Co2 Co 0.0000 0.5000 0.3007
Ir1 Ir 0.5000 0.5000 0.8667
Pb1 Pb 0.5000 0.0000 0.4888
```

=====

(11)
The following is a DFT calculation (PBE) of a geometry-optimized Ca4SeN2 structure.

## Properties
- mass density (g cm⁻³) = 3.157
- formation energy (no corrections) (eV/atom) = -1.126

Cell and atoms, written as CIF:
```
data_Ca4SeN2
_space_group_name_H-M_alt 'C m c m'
_space_group_IT_number 63
_space_group_name_Hall '-C 2c 2'
_cell_length_a 3.7361
_cell_length_b 12.3130
_cell_length_c 12.2249
_cell_angle_alpha 90.00
_cell_angle_beta 90.00
_cell_angle_gamma 90.00
loop_
_atom_site_label
_atom_site_type_symbol
_atom_site_fract_x
_atom_site_fract_y
_atom_site_fract_z
Ca1 Ca 0.0000 0.0000 0.0000
Ca2 Ca 0.0000 0.2627 0.1008
Ca3 Ca 0.0000 0.4363 0.7500
Se1 Se 0.0000 0.1112 0.7500
N1 N 0.0000 0.3631 0.5682
```

=====

(12)
The following is a DFT calculation (PBE) of a geometry-optimized AcPd3Se4 structure.

## Properties
- mass density (g cm⁻³) = 7.670
- formation energy (no corrections) (eV/atom) = -0.856

Cell and atoms, written as CIF:
```
data_AcPd3Se4
_space_group_name_H-M_alt 'P m -3 n'
_space_group_IT_number 223
_space_group_name_Hall '-P 4n 2 3'
_cell_length_a 7.2003
_cell_length_b 7.2003
_cell_length_c 7.2003
_cell_angle_alpha 90.00
_cell_angle_beta 90.00
_cell_angle_gamma 90.00
loop_
_atom_site_label
_atom_site_type_symbol
_atom_site_fract_x
_atom_site_fract_y
_atom_site_fract_z
Ac1 Ac 0.0000 0.0000 0.0000
Pd1 Pd 0.0000 0.2500 0.5000
Se1 Se 0.2500 0.2500 0.2500
```

=====

- The lowest mass density belongs to which entry?
  Li3Mg3Zn2